No. 1
# Pr2GdO

Pr2GdO after structural relaxation (PBE-GGA, Alexandria).

POSCAR file:
```
Pr2GdO
1.0
-1.2299 2.3608 1.8979
-2.2166 -2.0975 1.1727
5.8963 -2.4151 6.8251
O Pr Gd
1 2 1
Direct
0.5000 0.5000 0.0000
0.0000 0.0000 0.1685
0.0000 0.0000 0.8315
0.5000 0.5000 0.5000
```

- space group = No. 123
- magnetization (Bohr magnetons per cell) = 7.72
- relative energy among the computed polymorphs (kcal/mol of atoms) = 7.29
- ΔE_f (raw) (eV per formula unit) = -3.19
- DOS at the Fermi energy (states/eV/f.u.) = 5.37

***

No. 2
# Pr2GdO

Pr2GdO after structural relaxation (PBE-GGA, Alexandria).

POSCAR file:
```
Pr2GdO
1.0
3.6662 0.0000 0.0000
1.8331 3.1750 0.0000
1.8331 1.0583 9.4661
Pr Gd O
2 1 1
Direct
0.1181 0.1181 0.6456
0.8819 0.8819 0.3544
0.0000 0.0000 0.0000
0.5000 0.5000 0.5000
```

- space group = No. 166
- magnetization (Bohr magnetons per cell) = 7.52
- relative energy among the computed polymorphs (kcal/mol of atoms) = 0.00
- ΔE_f (raw) (eV per formula unit) = -4.46
- DOS at the Fermi energy (states/eV/f.u.) = 5.99

***

No. 3
# Pr3GdO

Pr3GdO after structural relaxation (PBE-GGA, Alexandria).

POSCAR file:
```
Pr3GdO
1.0
5.1477 0.0000 0.0000
0.0000 5.1477 0.0000
0.0000 0.0000 5.1477
Pr O Gd
3 1 1
Direct
0.0000 0.0000 0.5000
0.5000 0.0000 0.0000
0.0000 0.5000 0.0000
0.0000 0.0000 0.0000
0.5000 0.5000 0.5000
```

- space group = No. 221
- magnetization (Bohr magnetons per cell) = 7.47
- ΔE_f (raw) (eV per formula unit) = -5.40
- DOS at the Fermi energy (states/eV/f.u.) = 4.64

***

No. 4
# Gd3PtO

Gd3PtO after structural relaxation (PBE-GGA, Alexandria).

POSCAR file:
```
Gd3PtO
1.0
4.7405 0.0000 0.0000
0.0000 4.7405 0.0000
0.0000 0.0000 4.7405
Gd Pt O
3 1 1
Direct
0.0000 0.5000 0.0000
0.0000 0.0000 0.5000
0.5000 0.0000 0.0000
0.5000 0.5000 0.5000
0.0000 0.0000 0.0000
```

- space group = No. 221
- magnetization (Bohr magnetons per cell) = 22.37
- ΔE_f (raw) (eV per formula unit) = -7.48
- DOS at the Fermi energy (states/eV/f.u.) = 5.55

***

No. 5
# Gd2ZnPtO6

Gd2ZnPtO6 after structural relaxation (PBE-GGA, Alexandria).

POSCAR file:
```
Gd2ZnPtO6
1.0
5.8102 0.0000 0.0000
0.0000 5.4262 -0.0162
0.0000 5.4209 7.7699
O Gd Zn Pt
12 4 2 2
Direct
0.6908 0.2508 0.5582
0.6993 0.8799 0.9382
0.8007 0.8799 0.4382
0.3092 0.7492 0.4418
0.8092 0.2508 0.0582
0.5455 0.6320 0.7467
0.0455 0.3680 0.7533
0.1908 0.7492 0.9418
0.4545 0.3680 0.2533
0.3007 0.1201 0.0618
0.1993 0.1201 0.5618
0.9545 0.6320 0.2467
0.0746 0.2280 0.2490
0.9254 0.7720 0.7510
0.4254 0.2280 0.7490
0.5746 0.7720 0.2510
0.0000 0.5000 0.5000
0.5000 0.5000 0.0000
0.5000 0.0000 0.5000
0.0000 0.0000 0.0000
```

- space group = No. 14
- magnetization (Bohr magnetons per cell) = 27.96
- ΔE_f (raw) (eV per formula unit) = -21.81
- DOS at the Fermi energy (states/eV/f.u.) = 0.00

***

No. 6
# Gd2PuO

Gd2PuO after structural relaxation (PBE-GGA, Alexandria).

POSCAR file:
```
Gd2PuO
1.0
-0.1512 2.8854 1.2264
-3.1019 0.0408 -0.4785
-1.2816 -3.4729 8.0128
Gd Pu O
2 1 1
Direct
0.0000 0.0000 0.8241
0.0000 0.0000 0.1759
0.5000 0.5000 0.5000
0.5000 0.5000 0.0000
```

- space group = No. 123
- magnetization (Bohr magnetons per cell) = 21.19
- relative energy among the computed polymorphs (kcal/mol of atoms) = 9.63
- ΔE_f (raw) (eV per formula unit) = -3.20
- DOS at the Fermi energy (states/eV/f.u.) = 8.57

***

No. 7
# GdPuO2

GdPuO2 after structural relaxation (PBE-GGA, Alexandria).

POSCAR file:
```
GdPuO2
1.0
-0.8139 2.1993 1.9237
-4.0370 -1.5723 0.0896
1.0622 -2.5363 3.3491
Gd O Pu
1 2 1
Direct
0.5000 0.5000 0.5000
0.0000 0.0000 0.5000
0.0000 0.5000 0.0000
0.5000 0.0000 0.0000
```

- space group = No. 123
- magnetization (Bohr magnetons per cell) = 13.28
- ΔE_f (raw) (eV per formula unit) = -8.06
- DOS at the Fermi energy (states/eV/f.u.) = 5.51

***

No. 8
# Gd2PuO

Gd2PuO after structural relaxation (PBE-GGA, Alexandria).

POSCAR file:
```
Gd2PuO
1.0
-0.8085 -0.5006 -3.3637
-3.2740 -0.8228 -0.9069
-3.2922 8.1404 -2.2364
Pu O Gd
1 1 2
Direct
0.5000 0.5000 0.5000
0.0000 0.0000 0.0000
0.2788 0.2788 0.1635
0.7212 0.7212 0.8365
```

- space group = No. 166
- magnetization (Bohr magnetons per cell) = 20.76
- relative energy among the computed polymorphs (kcal/mol of atoms) = 0.00
- ΔE_f (raw) (eV per formula unit) = -4.87
- DOS at the Fermi energy (states/eV/f.u.) = 9.34

***

No. 9
# RbGdO2

RbGdO2 after structural relaxation (PBE-GGA, Alexandria).

POSCAR file:
```
RbGdO2
1.0
-2.2405 -5.3623 -3.7049
-0.5536 -6.8094 -0.9089
-3.9126 -5.6460 -0.5616
Rb O Gd
1 2 1
Direct
0.0000 0.0000 0.0000
0.7742 0.7742 0.7742
0.2258 0.2258 0.2258
0.5000 0.5000 0.5000
```

- space group = No. 166
- magnetization (Bohr magnetons per cell) = 7.00
- ΔE_f (raw) (eV per formula unit) = -10.53
- DOS at the Fermi energy (states/eV/f.u.) = 0.00

***

No. 10
# RbGdO3

RbGdO3 after structural relaxation (PBE-GGA, Alexandria).

POSCAR file:
```
RbGdO3
1.0
-4.4794 0.3936 -0.1242
-0.3870 -4.4758 -0.2283
-0.1435 -0.2166 4.4908
O Rb Gd
3 1 1
Direct
0.5000 0.5000 0.0000
0.0000 0.5000 0.5000
0.5000 0.0000 0.5000
0.0000 0.0000 0.0000
0.5000 0.5000 0.5000
```

- space group = No. 221
- magnetization (Bohr magnetons per cell) = 5.00
- ΔE_f (raw) (eV per formula unit) = -9.40
- DOS at the Fermi energy (states/eV/f.u.) = 5.89

***

> Look up the DOS at the Fermi energy of the tenth one.

5.89 states/eV/f.u.

***

What did the third record say?
# Pr3GdO

Pr3GdO after structural relaxation (PBE-GGA, Alexandria).

POSCAR file:
```
Pr3GdO
1.0
5.1477 0.0000 0.0000
0.0000 5.1477 0.0000
0.0000 0.0000 5.1477
Pr O Gd
3 1 1
Direct
0.0000 0.0000 0.5000
0.5000 0.0000 0.0000
0.0000 0.5000 0.0000
0.0000 0.0000 0.0000
0.5000 0.5000 0.5000
```

- space group = No. 221
- magnetization (Bohr magnetons per cell) = 7.47
- ΔE_f (raw) (eV per formula unit) = -5.40
- DOS at the Fermi energy (states/eV/f.u.) = 4.64